Below is a geometry-optimized Ba6Ag2PtAu structure, with properties calculated at the PBE level.

## Properties
Density of states at the Fermi level ... 6.79 states/eV/f.u.
Symmetry ... P2_1/c
VASP energy ... -3.10 eV per atom

abc: 8.048 8.911 11.971
angles: 90.00 88.95 90.00
Fractional coordinates of all 20 atoms:
Ba 0.166 0.189 0.069
Ba 0.334 0.689 0.431
Ba 0.820 0.825 0.566
Ba 0.145 0.458 0.756
Ba 0.355 0.958 0.744
Ba 0.645 0.042 0.256
Ba 0.680 0.325 0.934
Ba 0.320 0.675 0.066
Ba 0.855 0.542 0.244
Ba 0.666 0.311 0.569
Ba 0.180 0.175 0.434
Ba 0.834 0.811 0.931
Pt 0.500 0.000 0.500
Pt 0.000 0.500 0.000
Ag 0.449 0.390 0.246
Ag 0.051 0.890 0.254
Ag 0.949 0.110 0.746
Ag 0.551 0.610 0.754
Au 0.500 0.000 0.000
Au 0.000 0.500 0.500

***

Below is a geometry-optimized Ba2PuAgAu6 structure, with properties calculated at the PBE level.

## Properties
Density of states at the Fermi level ... 16.75 states/eV/f.u.
Symmetry ... I4/mmm
VASP energy ... -4.25 eV per atom

abc: 7.661 7.660 7.663
angles: 60.05 60.03 90.01
Each line ends with the local moment (μB).
Fractional coordinates of all 10 atoms:
Pu 0.500 0.500 0.000  5.19
Ba 0.250 0.750 0.500  0.01
Ba 0.750 0.250 0.500  0.01
Au 0.243 0.243 0.514  0.01
Au 0.757 0.757 0.000  0.01
Au 0.243 0.243 0.000  0.01
Au 0.243 0.757 0.000  0.01
Au 0.757 0.243 0.000  0.01
Au 0.757 0.757 0.486  0.01
Ag 0.000 0.000 0.000  0.03

***

Below is a geometry-optimized RbBaAgAu structure, with properties calculated at the PBE level.

## Properties
Density of states at the Fermi level ... 2.50 states/eV/f.u.
Symmetry ... F-43m
VASP energy ... -2.50 eV per atom

abc: 5.804 5.804 5.804
angles: 60.00 60.00 60.00
Fractional coordinates of all 4 atoms:
Ba 0.000 0.000 0.000
Rb 0.500 0.500 0.500
Au 0.750 0.750 0.750
Ag 0.250 0.250 0.250

***

Below is a geometry-optimized Ba2ReAgAu structure, with properties calculated at the PBE level.

## Properties
Density of states at the Fermi level ... 5.10 states/eV/f.u.
Symmetry ... P4/mmm
VASP energy ... -3.56 eV per atom

abc: 6.149 5.151 6.149
angles: 90.00 90.00 90.00
Each line ends with the local moment (μB).
Fractional coordinates of all 5 atoms:
Au 0.000 0.000 0.000  -0.01
Ag 0.000 0.500 0.000  0.00
Re 0.500 0.500 0.500  3.19
Ba 0.500 0.000 0.000  -0.05
Ba 0.000 0.000 0.500  -0.04

***

Below is a geometry-optimized Ba6AgRhAu structure, with properties calculated at the PBE level.

## Properties
Density of states at the Fermi level ... 6.14 states/eV/f.u.
Symmetry ... P-31c
VASP energy ... -3.09 eV per atom

abc: 8.079 8.079 15.258
angles: 90.00 90.00 120.00
Fractional coordinates of all 18 atoms:
Ba 0.666 0.018 0.367
Ba 0.982 0.334 0.133
Ba 0.334 0.982 0.633
Ba 0.018 0.353 0.633
Ba 0.353 0.018 0.133
Ba 0.353 0.334 0.367
Ba 0.647 0.982 0.867
Ba 0.982 0.647 0.367
Ba 0.666 0.647 0.133
Ba 0.018 0.666 0.867
Ba 0.334 0.353 0.867
Ba 0.647 0.666 0.633
Au 0.667 0.333 0.750
Au 0.333 0.667 0.250
Ag 0.000 0.000 0.500
Ag 0.000 0.000 0.000
Rh 0.667 0.333 0.250
Rh 0.333 0.667 0.750

***

Below is a geometry-optimized BaAgRhAu2 structure, with properties calculated at the PBE level.

## Properties
Density of states at the Fermi level ... 4.44 states/eV/f.u.
Symmetry ... P4/mmm
VASP energy ... -3.39 eV per atom

abc: 5.199 5.405 5.199
angles: 90.00 90.00 90.00
Fractional coordinates of all 5 atoms:
Ag 0.500 0.500 0.500
Au 0.000 0.000 0.500
Au 0.500 0.000 0.000
Ba 0.000 0.500 0.000
Rh 0.000 0.000 0.000

***

Below is a geometry-optimized Ba8Ag2RhAu structure, with properties calculated at the PBE level.

## Properties
Density of states at the Fermi level ... 7.64 states/eV/f.u.
Symmetry ... P2/m
VASP energy ... -2.91 eV per atom

abc: 7.924 7.689 9.605
angles: 90.00 90.00 89.99
Fractional coordinates of all 12 atoms:
Ba 0.163 0.776 0.764
Ba 0.328 0.263 0.500
Ba 0.163 0.776 0.236
Ba 0.672 0.737 0.500
Ba 0.837 0.224 0.764
Ba 0.688 0.756 0.000
Ba 0.837 0.224 0.236
Ba 0.312 0.244 0.000
Rh 0.000 0.000 0.000
Ag 0.500 0.500 0.757
Ag 0.500 0.500 0.243
Au 0.000 0.000 0.500

***

Below is a geometry-optimized Ba6AgRhAu2 structure, with properties calculated at the PBE level.

## Properties
Density of states at the Fermi level ... 5.91 states/eV/f.u.
Symmetry ... P1
VASP energy ... -3.22 eV per atom

abc: 8.132 8.130 8.965
angles: 63.02 63.00 59.95
Fractional coordinates of all 10 atoms:
Ag 0.832 0.833 0.502
Ba 0.724 0.102 0.766
Ba 0.102 0.408 0.766
Ba 0.938 0.568 0.240
Ba 0.408 0.724 0.766
Ba 0.568 0.255 0.240
Ba 0.254 0.938 0.240
Au 0.506 0.506 0.482
Au 0.998 0.998 0.007
Rh 0.331 0.331 0.007